# 1
# Tl2PdCl5

An optimized crystal structure of Tl2PdCl5 (PBE, the Alexandria database).

Cell and atoms, written as POSCAR:
```
Tl2PdCl5
1.0
-2.554 2.075 6.487
-0.769 -6.971 1.927
5.969 2.442 -2.508
Cl Tl Pd
5 2 1
Cartesian
-0.627 -1.111 1.957
-2.444 -3.787 6.556
-2.024 0.023 5.503
0.326 -2.451 4.991
-1.048 -4.921 3.010
1.733 -3.487 1.798
0.840 1.034 4.078
2.612 -2.455 5.892
```

Calculated values
Crystal system   tetragonal
Raw formation energy   -0.7037 eV/atom
Calculated volume   30.618 Å³/atom
Energy above the most stable polymorph in this dataset   44.0 kJ/mol of formula units
Fermi-level density of states   0.04 states/eV/atom

# 2
# BaPmSm

An optimized crystal structure of BaPmSm (PBE, the Alexandria database).

Cell and atoms, written as POSCAR:
```
BaPmSm
1.0
-0.940 3.663 0.488
-3.243 -1.059 1.702
6.003 -1.292 6.365
Pm Sm Ba
1 1 1
Cartesian
2.492 0.006 4.753
-0.673 1.305 3.800
0.001 0.000 0.002
```

Calculated values
Crystal system   tetragonal
Calculated volume   40.818 Å³/atom
ΔH_f (0 K)   0.143 eV/atom
Energy above the most stable polymorph in this dataset   0.0 kJ/mol of formula units
Fermi-level density of states   1.56 states/eV/atom

# 3
# Ba2Na4Sr

An optimized crystal structure of Ba2Na4Sr (PBE, the Alexandria database).

Cell and atoms, written as POSCAR:
```
Ba2Na4Sr
1.0
-1.936 6.043 1.012
-4.476 -0.670 -4.561
-3.406 -5.972 8.745
Ba Na Sr
2 4 1
Cartesian
-4.736 1.926 -0.161
-5.081 -2.525 5.357
-0.968 3.021 0.506
-7.402 0.602 2.649
-2.238 -0.335 -2.281
-2.416 -1.200 2.547
0.000 0.000 0.000
```

Calculated values
Crystal system   tetragonal
Calculated volume   59.887 Å³/atom
ΔH_f (0 K)   0.278 eV/atom
Energy above the most stable polymorph in this dataset   148.8 kJ/mol of formula units
Fermi-level density of states   0.85 states/eV/atom

# 4
# Na2PH2N2

An optimized crystal structure of Na2PH2N2 (PBE, the Alexandria database).

Cell and atoms, written as POSCAR:
```
Na2PH2N2
1.0
4.308 -0.079 -0.008
-0.033 4.864 0.233
2.140 2.151 5.126
Na H N P
2 2 2 1
Cartesian
4.291 2.245 2.347
2.124 4.690 3.005
2.925 5.717 5.296
3.490 1.219 0.056
2.139 2.227 3.544
4.276 4.708 1.807
0.000 0.000 0.000
```

Calculated values
Crystal system   monoclinic
Calculated volume   15.040 Å³/atom
DFT total energy   -4.405 eV per atom